Pm2SmCd, optimized geometry, DFT PBE-GGA; distance to the lowest polymorph of the same formula = 44 meV/atom; symmetry = P4/mmm, No. 123
1.0
4.946 0.000 0.000
0.000 4.948 0.000
0.000 0.000 4.948
Cd Sm Pm
1 1 2
direct
0.500 0.000 0.000
0.500 0.500 0.500
0.000 0.000 0.500
0.000 0.500 0.000

***

PmSmCd, optimized geometry, DFT PBE-GGA; distance to the lowest polymorph of the same formula = 289 meV/atom; symmetry = I-4m2, No. 119
1.0
5.269 -0.065 -0.091
-2.631 4.566 0.091
-2.631 -1.481 4.319
Pm Sm Cd
1 1 1
direct
0.945 0.472 0.417
0.944 0.972 0.917
0.444 0.222 0.667

***

Pm8Sm5Cd, optimized geometry, DFT PBE-GGA; total energy = -4.271 eV per atom; symmetry = I-4, No. 82
1.0
8.122 0.000 -2.709
-4.092 6.928 -2.926
0.062 0.000 8.562
Pm Sm Cd
8 5 1
direct
0.168 0.724 0.063
0.937 0.105 0.661
0.744 0.264 0.347
0.653 0.397 0.917
0.520 0.603 0.256
0.556 0.895 0.832
0.339 0.276 0.444
0.083 0.736 0.480
0.017 0.305 0.126
0.874 0.891 0.179
0.821 0.695 0.712
0.500 0.000 0.500
0.288 0.109 0.983
0.250 0.500 0.750

***

Pm8Sm3Cd, optimized geometry, DFT PBE-GGA; total energy = -3.952 eV per atom; symmetry = I-42m, No. 121
1.0
7.585 -0.499 -3.610
-4.437 7.053 -1.174
-0.314 0.499 8.395
Pm Sm Cd
8 3 1
direct
0.499 0.258 0.258
0.501 0.759 0.759
0.000 0.742 0.241
0.000 0.241 0.742
0.253 0.378 0.378
0.747 0.125 0.125
0.000 0.622 0.875
0.000 0.875 0.622
0.500 0.750 0.250
0.500 0.250 0.750
0.000 0.500 0.500
0.000 0.000 0.000

***

Pm3Sm4Cd4, optimized geometry, DFT PBE-GGA; total energy = -3.440 eV per atom; symmetry = Immm, No. 71
1.0
-3.674 -3.161 -2.362
2.456 -5.545 3.601
-5.087 6.081 5.927
Pm Sm Cd
3 4 4
direct
0.100 0.100 0.201
0.900 0.900 0.799
0.000 0.500 0.000
0.319 0.083 0.638
0.681 0.444 0.362
0.681 0.917 0.362
0.319 0.556 0.638
0.174 0.674 0.348
0.826 0.326 0.652
0.500 0.792 0.000
0.500 0.208 0.000

***

Pm3Sm6Cd, optimized geometry, DFT PBE-GGA; distance to the lowest polymorph of the same formula = 0 meV/atom; symmetry = P2_1/m, No. 11
1.0
-5.091 0.742 -0.271
-1.223 -10.054 -4.541
-1.167 -4.130 10.623
Pm Sm Cd
6 12 2
direct
0.250 0.552 0.403
0.750 0.448 0.597
0.250 0.345 0.790
0.750 0.655 0.210
0.250 0.754 0.012
0.750 0.246 0.988
0.250 0.449 0.101
0.750 0.551 0.899
0.250 0.154 0.184
0.750 0.846 0.816
0.250 0.656 0.704
0.750 0.344 0.296
0.250 0.230 0.491
0.750 0.770 0.509
0.250 0.868 0.320
0.750 0.132 0.680
0.250 0.044 0.892
0.750 0.956 0.108
0.250 0.944 0.611
0.750 0.056 0.389